1.
An optimized crystal structure of LiTlS2, computed with PBE-GGA.

a = 6.908 Å, b = 3.835 Å, c = 13.358 Å
α = 90.00°, β = 90.00°, γ = 90.00°
Sites, in units of the cell vectors:
Li: 0.102 0.250 0.116
Li: 0.398 0.750 0.616
Li: 0.602 0.250 0.384
Li: 0.898 0.750 0.884
Tl: 0.061 0.750 0.384
Tl: 0.439 0.250 0.884
Tl: 0.561 0.750 0.116
Tl: 0.939 0.250 0.616
S: 0.087 0.750 0.723
S: 0.238 0.750 0.989
S: 0.262 0.250 0.489
S: 0.413 0.250 0.223
S: 0.587 0.750 0.777
S: 0.738 0.750 0.511
S: 0.762 0.250 0.011
S: 0.913 0.250 0.277

Results
E_form (uncorrected): -460 meV per atom


2.
An optimized crystal structure of KMg2Rh, computed with PBE-GGA.

a = 4.958 Å, b = 4.958 Å, c = 4.958 Å
α = 60.00°, β = 60.00°, γ = 60.00°
Sites, in units of the cell vectors:
K: 0.000 0.000 0.000
Mg: 0.250 0.250 0.250
Mg: 0.750 0.750 0.750
Rh: 0.500 0.500 0.500

Results
energy of formation: 209 meV per atom
offset from the most stable computed form: 31.7 kJ per mole of atoms


3.
An optimized crystal structure of LaTl2P2, computed with PBE-GGA.

a = 5.969 Å, b = 5.969 Å, c = 5.969 Å
α = 127.73°, β = 127.73°, γ = 77.06°
Sites, in units of the cell vectors:
La: 0.000 0.000 0.000
Tl: 0.348 0.348 0.000
Tl: 0.652 0.652 0.000
P: 0.250 0.750 0.500
P: 0.750 0.250 0.500

Results
energy of formation: -98 meV per atom
offset from the most stable computed form: 33.9 kJ per mole of atoms


4.
An optimized crystal structure of CaMnCo2, computed with PBE-GGA.

a = 4.370 Å, b = 4.370 Å, c = 4.370 Å
α = 60.00°, β = 60.00°, γ = 60.00°
Sites, in units of the cell vectors:
Ca: 0.000 0.000 0.000
Mn: 0.500 0.500 0.500
Co: 0.250 0.250 0.250
Co: 0.750 0.750 0.750

Results
energy of formation: 447 meV per atom
offset from the most stable computed form: 24.3 kJ per mole of atoms


5.
An optimized crystal structure of Sb2O5, computed with PBE-GGA.

a = 8.323 Å, b = 4.982 Å, c = 10.023 Å
α = 90.00°, β = 110.20°, γ = 90.00°
Sites, in units of the cell vectors:
Sb: 0.112 0.011 0.171
Sb: 0.112 0.489 0.671
Sb: 0.312 0.519 0.456
Sb: 0.312 0.981 0.956
Sb: 0.688 0.019 0.044
Sb: 0.688 0.481 0.544
Sb: 0.888 0.511 0.329
Sb: 0.888 0.989 0.829
O: 0.094 0.703 0.481
O: 0.094 0.797 0.981
O: 0.098 0.202 0.812
O: 0.098 0.298 0.312
O: 0.277 0.731 0.794
O: 0.277 0.769 0.294
O: 0.280 0.203 0.111
O: 0.280 0.297 0.611
O: 0.483 0.217 0.919
O: 0.483 0.283 0.419
O: 0.517 0.717 0.581
O: 0.517 0.783 0.081
O: 0.720 0.703 0.389
O: 0.720 0.797 0.889
O: 0.723 0.231 0.706
O: 0.723 0.269 0.206
O: 0.902 0.702 0.688
O: 0.902 0.798 0.188
O: 0.906 0.203 0.019
O: 0.906 0.297 0.519

Results
E_form (uncorrected): -1214 meV per atom
offset from the most stable computed form: 3.4 kJ per mole of atoms


6.
An optimized crystal structure of YPHS2, computed with PBE-GGA.

a = 4.728 Å, b = 4.728 Å, c = 3.423 Å
α = 90.00°, β = 90.00°, γ = 90.00°
Sites, in units of the cell vectors:
Y: 0.000 0.000 0.000
P: 0.500 0.500 0.000
H: 0.500 0.500 0.500
S: 0.000 0.500 0.500
S: 0.500 0.000 0.500

Results
offset from the most stable computed form: 0.0 kJ per mole of atoms


7.
An optimized crystal structure of TlAg4Te2, computed with PBE-GGA.

a = 8.837 Å, b = 8.837 Å, c = 4.527 Å
α = 90.00°, β = 90.00°, γ = 90.00°
Sites, in units of the cell vectors:
Tl: 0.000 0.000 0.000
Tl: 0.500 0.500 0.500
Ag: 0.083 0.358 0.500
Ag: 0.142 0.583 0.000
Ag: 0.358 0.083 0.500
Ag: 0.417 0.858 0.000
Ag: 0.583 0.142 0.000
Ag: 0.642 0.917 0.500
Ag: 0.858 0.417 0.000
Ag: 0.917 0.642 0.500
Te: 0.216 0.784 0.500
Te: 0.284 0.284 0.000
Te: 0.716 0.716 0.000
Te: 0.784 0.216 0.500

Results
E_form (uncorrected): -66 meV per atom
offset from the most stable computed form: 0.0 kJ per mole of atoms


8.
An optimized crystal structure of CaIn4Au12, computed with PBE-GGA.

a = 8.140 Å, b = 8.140 Å, c = 8.140 Å
α = 109.47°, β = 109.47°, γ = 109.47°
Sites, in units of the cell vectors:
Ca: 0.000 0.000 0.000
In: 0.000 0.000 0.500
In: 0.000 0.500 0.000
In: 0.500 0.000 0.000
In: 0.500 0.500 0.500
Au: 0.145 0.497 0.352
Au: 0.145 0.794 0.648
Au: 0.206 0.352 0.855
Au: 0.352 0.145 0.497
Au: 0.352 0.855 0.206
Au: 0.497 0.352 0.145
Au: 0.503 0.648 0.855
Au: 0.648 0.145 0.794
Au: 0.648 0.855 0.503
Au: 0.794 0.648 0.145
Au: 0.855 0.206 0.352
Au: 0.855 0.503 0.648

Results
energy of formation: 26 meV per atom


9.
An optimized crystal structure of AcLa4Tb10, computed with PBE-GGA.

a = 8.855 Å, b = 8.855 Å, c = 8.855 Å
α = 112.51°, β = 112.51°, γ = 103.55°
Sites, in units of the cell vectors:
Ac: 0.000 0.000 0.000
La: 0.067 0.344 0.412
La: 0.344 0.933 0.277
La: 0.656 0.067 0.723
La: 0.933 0.656 0.588
Tb: 0.134 0.461 0.908
Tb: 0.226 0.134 0.673
Tb: 0.250 0.750 0.500
Tb: 0.447 0.774 0.908
Tb: 0.461 0.553 0.327
Tb: 0.539 0.447 0.673
Tb: 0.553 0.226 0.092
Tb: 0.750 0.250 0.500
Tb: 0.774 0.866 0.327
Tb: 0.866 0.539 0.092

Results
energy of formation: 318 meV per atom


10.
An optimized crystal structure of Gd2TiHg, computed with PBE-GGA.

a = 3.444 Å, b = 3.444 Å, c = 8.568 Å
α = 90.00°, β = 90.00°, γ = 90.00°
Sites, in units of the cell vectors:
Gd: 0.000 0.000 0.245
Gd: 0.000 0.000 0.755
Ti: 0.500 0.500 0.000
Hg: 0.500 0.500 0.500

Results
energy of formation: -88 meV per atom
offset from the most stable computed form: 0.0 kJ per mole of atoms


11.
An optimized crystal structure of NdMnRh2, computed with PBE-GGA.

a = 4.682 Å, b = 4.682 Å, c = 4.682 Å
α = 60.00°, β = 60.00°, γ = 60.00°
Sites, in units of the cell vectors:
Nd: 0.000 0.000 0.000
Mn: 0.500 0.500 0.500
Rh: 0.250 0.250 0.250
Rh: 0.750 0.750 0.750

Results
energy of formation: -319 meV per atom


12.
An optimized crystal structure of Sc4Al, computed with PBE-GGA.

a = 5.584 Å, b = 5.584 Å, c = 5.584 Å
α = 109.47°, β = 109.47°, γ = 109.47°
Sites, in units of the cell vectors:
Sc: 0.000 0.000 0.500
Sc: 0.000 0.500 0.000
Sc: 0.500 0.000 0.000
Sc: 0.500 0.500 0.500
Al: 0.000 0.000 0.000

Results
energy of formation: 416 meV per atom
offset from the most stable computed form: 53.2 kJ per mole of atoms


Going through the records in order, we get calculated density values of 5.2; 3.7; 7.8; 6.0; 5.5; 4.0; 8.4; 11.4; 7.4; 9.2; 9.3; 2.6 g cm⁻³.